# 1
VASP calculation (PBE) on Li2PrNi9 after structural relaxation.

Output
Calculated formation energy (meV per atom): -117
E (eV/atom): -5.170
Fermi-level density of states (states/eV/cell): 13.844
E above lowest polymorph (kJ/mol of atoms): 1.2
Symmetry: No. 166

Cell lengths 4.883, 4.883, 8.299 Å; angles 72.89, 72.89, 60.00 degrees
Sites, in units of the cell vectors:
1 Li 0.854 0.854 0.438
2 Li 0.146 0.146 0.562
3 Pr 0.000 0.000 0.000
4 Ni 0.667 0.667 0.999
5 Ni 0.333 0.333 0.001
6 Ni 0.500 0.500 0.500
7 Ni 0.413 0.413 0.257
8 Ni 0.917 0.413 0.257
9 Ni 0.413 0.917 0.257
10 Ni 0.587 0.587 0.743
11 Ni 0.587 0.083 0.743
12 Ni 0.083 0.587 0.743

# 2
VASP calculation (PBE) on NaAgTeSe3 after structural relaxation.

Output
Uncorrected formation energy (kJ per mole of atoms): -29.9
E (eV/atom): -3.271
Fermi-level density of states (states/eV/cell): 0.621
Symmetry: No. 11

Cell lengths 4.151, 11.024, 7.617 Å; angles 105.32, 90.00, 90.00 degrees
Sites, in units of the cell vectors:
1 Na 0.250 0.333 0.359
2 Na 0.750 0.667 0.641
3 Ag 0.250 0.060 0.614
4 Ag 0.750 0.940 0.386
5 Te 0.250 0.664 0.143
6 Te 0.750 0.336 0.857
7 Se 0.750 0.804 0.038
8 Se 0.250 0.196 0.962
9 Se 0.250 0.804 0.498
10 Se 0.750 0.196 0.502
11 Se 0.750 0.507 0.235
12 Se 0.250 0.493 0.765

# 3
VASP calculation (PBE) on CeSc5Ir4 after structural relaxation.

Output
Calculated formation energy (meV per atom): -820
E (eV/atom): -8.124
Fermi-level density of states (states/eV/cell): 6.764
Symmetry: No. 123

Cell lengths 3.213, 3.213, 18.105 Å; angles 90.00, 90.00, 90.00 degrees
Sites, in units of the cell vectors:
1 Ce 0.000 0.000 0.000
2 Sc 0.500 0.500 0.140
3 Sc 0.500 0.500 0.319
4 Sc 0.500 0.500 0.500
5 Sc 0.500 0.500 0.681
6 Sc 0.500 0.500 0.860
7 Ir 0.000 0.000 0.227
8 Ir 0.000 0.000 0.409
9 Ir 0.000 0.000 0.591
10 Ir 0.000 0.000 0.773

# 4
VASP calculation (PBE) on TbCeTm2N4 after structural relaxation.

Output
Uncorrected formation energy (kJ per mole of atoms): -162.9
E (eV/atom): -8.290
Fermi-level density of states (states/eV/cell): 3.430
Symmetry: No. 10

Cell lengths 3.468, 5.996, 5.998 Å; angles 109.30, 90.00, 90.00 degrees
Sites, in units of the cell vectors:
1 Tb 0.500 0.500 0.000
2 Ce 0.000 0.000 0.000
3 Tm 0.500 0.000 0.500
4 Tm 0.000 0.500 0.500
5 N 0.500 0.252 0.256
6 N 0.500 0.748 0.744
7 N 0.000 0.246 0.745
8 N 0.000 0.754 0.255

# 5
VASP calculation (PBE) on Ta2BeCd after structural relaxation.

Output
Calculated formation energy (meV per atom): 318
E (eV/atom): -6.768
Fermi-level density of states (states/eV/cell): 1.749
E above lowest polymorph (kJ/mol of atoms): 19.7
Symmetry: No. 8

Cell lengths 5.411, 5.411, 4.806 Å; angles 63.80, 63.80, 31.56 degrees
Sites, in units of the cell vectors:
1 Be 0.504 0.504 0.501
2 Cd 0.217 0.217 0.280
3 Ta 0.001 0.001 0.000
4 Ta 0.779 0.779 0.719

# 6
VASP calculation (PBE) on Ca3TbPu2Se6 after structural relaxation.

Output
Uncorrected formation energy (kJ per mole of atoms): -171.6
E (eV/atom): -6.795
Fermi-level density of states (states/eV/cell): 22.739
Symmetry: No. 12

Cell lengths 7.208, 7.208, 7.280 Å; angles 99.50, 99.50, 119.99 degrees
Sites, in units of the cell vectors:
1 Ca 0.167 0.833 0.500
2 Ca 0.833 0.167 0.500
3 Ca 0.500 0.500 0.500
4 Tb 0.000 0.000 0.000
5 Pu 0.333 0.667 0.000
6 Pu 0.667 0.333 0.000
7 Se 0.917 0.588 0.751
8 Se 0.753 0.753 0.249
9 Se 0.083 0.412 0.249
10 Se 0.588 0.917 0.751
11 Se 0.247 0.247 0.751
12 Se 0.412 0.083 0.249

# 7
VASP calculation (PBE) on Cr2C after structural relaxation.

Output
Calculated formation energy (meV per atom): 456
E (eV/atom): -9.034
Fermi-level density of states (states/eV/cell): 7.034
Symmetry: No. 194

Cell lengths 2.682, 2.682, 9.751 Å; angles 90.00, 90.00, 120.00 degrees
Sites, in units of the cell vectors:
1 Cr 0.000 0.000 0.618
2 Cr 0.000 0.000 0.118
3 Cr 0.000 0.000 0.382
4 Cr 0.000 0.000 0.882
5 C 0.667 0.333 0.750
6 C 0.333 0.667 0.250

# 8
VASP calculation (PBE) on LiCa2PtF after structural relaxation.

Output
Uncorrected formation energy (kJ per mole of atoms): -143.3
E (eV/atom): -4.252
Fermi-level density of states (states/eV/cell): 2.845
Symmetry: No. 123

Cell lengths 4.844, 4.844, 3.978 Å; angles 90.00, 90.00, 90.00 degrees
Sites, in units of the cell vectors:
1 Ca 0.000 0.500 0.000
2 Ca 0.500 0.000 0.000
3 Li 0.000 0.000 0.500
4 Pt 0.500 0.500 0.500
5 F 0.000 0.000 0.000

# 9
VASP calculation (PBE) on EuSiIr after structural relaxation.

Output
Uncorrected formation energy (kJ per mole of atoms): -71.3
E (eV/atom): -8.925
Fermi-level density of states (states/eV/cell): 6.679
Symmetry: No. 187

Cell lengths 4.453, 4.096, 4.096 Å; angles 120.00, 90.00, 90.00 degrees
Sites, in units of the cell vectors:
1 Eu 0.667 0.333 0.667
2 Si 0.167 0.667 0.333
3 Ir 0.167 0.000 0.000

# 10
VASP calculation (PBE) on Sc4CdPt after structural relaxation.

Output
Calculated formation energy (meV per atom): 90
E (eV/atom): -5.290
Fermi-level density of states (states/eV/cell): 6.963
E above lowest polymorph (kJ/mol of atoms): 65.9
Symmetry: No. 216

Cell lengths 5.623, 5.623, 5.623 Å; angles 60.00, 60.00, 60.00 degrees
Sites, in units of the cell vectors:
1 Sc 0.374 0.878 0.374
2 Sc 0.878 0.374 0.374
3 Sc 0.374 0.374 0.878
4 Sc 0.374 0.374 0.374
5 Cd 0.750 0.750 0.750
6 Pt 0.000 0.000 0.000

# 11
VASP calculation (PBE) on Re2PCl after structural relaxation.

Output
Uncorrected formation energy (kJ per mole of atoms): 107.8
E (eV/atom): -6.921
Fermi-level density of states (states/eV/cell): 5.672
E above lowest polymorph (kJ/mol of atoms): 105.4
Symmetry: No. 216

Cell lengths 4.416, 4.416, 4.416 Å; angles 60.00, 60.00, 60.00 degrees
Sites, in units of the cell vectors:
1 Re 0.000 0.000 0.000
2 Re 0.750 0.750 0.750
3 P 0.250 0.250 0.250
4 Cl 0.500 0.500 0.500

# 12
VASP calculation (PBE) on TbHoC after structural relaxation.

Output
Calculated formation energy (meV per atom): -280
E (eV/atom): -6.424
Fermi-level density of states (states/eV/cell): 4.476
E above lowest polymorph (kJ/mol of atoms): 0.0
Symmetry: No. 11

Cell lengths 3.593, 6.498, 6.219 Å; angles 108.57, 90.00, 90.00 degrees
Sites, in units of the cell vectors:
1 Tb 0.250 0.780 0.510
2 Tb 0.750 0.220 0.490
3 C 0.750 0.001 0.752
4 C 0.250 0.999 0.248
5 Ho 0.750 0.783 0.011
6 Ho 0.250 0.217 0.989

Which value of E does entry 5 give? -6.768 eV/atom